Material: KVSN2
Method: DFT, PBE
State: optimized geometry

- Magnetic moment: 8.37 μB per formula unit
- Volume: 130.2 Å³/f.u.
- VASP energy: -3.77 eV per atom
- Density: 1.9 Mg/m³
- Symmetry: P4/mmm

Lattice parameters (Å, degrees): 4.6476 4.6476 6.0300 90.00 90.00 90.00
Last column: magnetic moment on the atom in μB.
Element x y z (fractional)
1 V 0.5000 0.5000 0.5000  2.90
2 N 0.5000 0.0000 0.0000  1.63
3 N 0.0000 0.5000 0.0000  1.63
4 S 0.0000 0.0000 0.5000  0.06
5 K 0.0000 0.0000 0.0000  0.14